Arrangement i

{
  "formula": "CoCuH2",
  "functional": "GGA-PBE",
  "state": "optimized geometry",
  "total_magnetization_mub_per_fu": 0.6,
  "density_g_cm3": 7.29,
  "space_group": "R3m, No. 160",
  "n_ef_per_ev_cell": 1.96,
  "lattice": [[1.308, 0.755, 4.785], [-1.308, 0.755, 4.785], [0.000, -1.510, 4.785]],
  "species": ["Co", "Cu", "H", "H"],
  "fractional_positions": [[0.000, 0.000, 0.000], [0.823, 0.823, 0.823], [0.391, 0.391, 0.391], [0.608, 0.608, 0.608]]
}

---

Arrangement ii

{
  "formula": "CoCuH2",
  "functional": "GGA-PBE",
  "state": "optimized geometry",
  "total_magnetization_mub_per_fu": 0.4,
  "density_g_cm3": 7.63,
  "space_group": "P-1, No. 2",
  "n_ef_per_ev_cell": 9.70,
  "lattice": [[4.671, 0.000, 0.000], [-1.853, 4.413, 0.000], [-1.402, -2.198, 5.255]],
  "species": ["Co", "Co", "Co", "Co", "Cu", "Cu", "Cu", "Cu", "H", "H", "H", "H", "H", "H", "H", "H"],
  "fractional_positions": [[0.061, 0.311, 0.122], [0.313, 0.563, 0.626], [0.687, 0.437, 0.374], [0.939, 0.689, 0.878], [0.188, 0.938, 0.376], [0.435, 0.185, 0.871], [0.565, 0.815, 0.129], [0.812, 0.062, 0.624], [0.059, 0.743, 0.629], [0.160, 0.476, 0.879], [0.281, 0.096, 0.121], [0.430, 0.614, 0.371], [0.570, 0.386, 0.629], [0.719, 0.904, 0.879], [0.840, 0.524, 0.121], [0.941, 0.257, 0.371]]
}

---

Arrangement iii

{
  "formula": "CoCuH2",
  "functional": "GGA-PBE",
  "state": "optimized geometry",
  "total_magnetization_mub_per_fu": 0.2,
  "density_g_cm3": 7.24,
  "space_group": "Fm-3m, No. 225",
  "n_ef_per_ev_cell": 2.30,
  "lattice": [[0.000, 2.426, 2.426], [2.426, 0.000, 2.426], [2.426, 2.426, 0.000]],
  "species": ["Co", "Cu", "H", "H"],
  "fractional_positions": [[0.000, 0.000, 0.000], [0.500, 0.500, 0.500], [0.250, 0.250, 0.250], [0.750, 0.750, 0.750]]
}

---

Arrangement iv

{
  "formula": "CoCuH2",
  "functional": "GGA-PBE",
  "state": "optimized geometry",
  "total_magnetization_mub_per_fu": 0.7,
  "density_g_cm3": 7.00,
  "space_group": "I-42d, No. 122",
  "n_ef_per_ev_cell": 7.26,
  "lattice": [[-1.955, 1.955, 3.861], [1.955, -1.955, 3.861], [1.955, 1.955, -3.861]],
  "species": ["Co", "Co", "Cu", "Cu", "H", "H", "H", "H"],
  "fractional_positions": [[0.000, 0.000, 0.000], [0.750, 0.250, 0.500], [0.250, 0.750, 0.500], [0.500, 0.500, 0.000], [0.098, 0.625, 0.973], [0.375, 0.348, 0.473], [0.652, 0.125, 0.027], [0.875, 0.902, 0.527]]
}

---

Q: Which of them is the most stable? A: arrangement ii.

---

Arrangement i

{
  "formula": "Co2CuH",
  "functional": "GGA-PBE",
  "state": "optimized geometry",
  "total_magnetization_mub_per_fu": 2.7,
  "density_g_cm3": 7.67,
  "space_group": "Fm-3m, No. 225",
  "n_ef_per_ev_cell": 3.25,
  "lattice": [[0.000, 2.703, 2.703], [2.703, 0.000, 2.703], [2.703, 2.703, 0.000]],
  "species": ["Co", "Co", "Cu", "H"],
  "fractional_positions": [[0.250, 0.250, 0.250], [0.750, 0.750, 0.750], [0.000, 0.000, 0.000], [0.500, 0.500, 0.500]]
}

---

Arrangement ii

{
  "formula": "Co2CuH",
  "functional": "GGA-PBE",
  "state": "optimized geometry",
  "total_magnetization_mub_per_fu": 2.8,
  "density_g_cm3": 8.48,
  "space_group": "R-3m, No. 166",
  "n_ef_per_ev_cell": 3.50,
  "lattice": [[1.284, 0.741, 6.253], [-1.284, 0.741, 6.253], [0.000, -1.483, 6.253]],
  "species": ["Co", "Co", "Cu", "H"],
  "fractional_positions": [[0.222, 0.222, 0.222], [0.778, 0.778, 0.778], [0.000, 0.000, 0.000], [0.500, 0.500, 0.500]]
}

---

Arrangement iii

{
  "formula": "Co2CuH",
  "functional": "GGA-PBE",
  "state": "optimized geometry",
  "total_magnetization_mub_per_fu": 2.9,
  "density_g_cm3": 7.98,
  "space_group": "I-42d, No. 122",
  "n_ef_per_ev_cell": 10.06,
  "lattice": [[-2.725, 2.725, 2.556], [2.725, -2.725, 2.556], [2.725, 2.725, -2.556]],
  "species": ["Co", "Co", "Co", "Co", "Cu", "Cu", "H", "H"],
  "fractional_positions": [[0.014, 0.625, 0.889], [0.375, 0.264, 0.389], [0.736, 0.125, 0.111], [0.875, 0.986, 0.611], [0.250, 0.750, 0.500], [0.500, 0.500, 0.000], [0.000, 0.000, 0.000], [0.750, 0.250, 0.500]]
}

---

Q: Which of them is the most stable? A: arrangement ii.

---

Arrangement i

{
  "formula": "NbCo2CuH",
  "functional": "GGA-PBE",
  "state": "optimized geometry",
  "total_magnetization_mub_per_fu": 0.0,
  "density_g_cm3": 8.59,
  "space_group": "P4/mmm, No. 123",
  "n_ef_per_ev_cell": 4.30,
  "lattice": [[3.741, 0.000, 0.000], [0.000, 3.741, 0.000], [0.000, 0.000, 3.801]],
  "species": ["Nb", "Co", "Co", "Cu", "H"],
  "fractional_positions": [[0.000, 0.000, 0.000], [0.000, 0.500, 0.500], [0.500, 0.000, 0.500], [0.500, 0.500, 0.000], [0.000, 0.000, 0.500]]
}

---

Arrangement ii

{
  "formula": "NbCo2CuH",
  "functional": "GGA-PBE",
  "state": "optimized geometry",
  "total_magnetization_mub_per_fu": 0.0,
  "density_g_cm3": 8.73,
  "space_group": "P4/mmm, No. 123",
  "n_ef_per_ev_cell": 4.79,
  "lattice": [[3.829, 0.000, 0.000], [0.000, 3.829, 0.000], [0.000, 0.000, 3.572]],
  "species": ["Nb", "Co", "Co", "Cu", "H"],
  "fractional_positions": [[0.000, 0.000, 0.000], [0.000, 0.500, 0.500], [0.500, 0.000, 0.500], [0.500, 0.500, 0.000], [0.500, 0.500, 0.500]]
}

---

Q: Which of them is the most stable? A: arrangement i.

---

Arrangement i

{
  "formula": "Co2CuNiH",
  "functional": "GGA-PBE",
  "state": "optimized geometry",
  "total_magnetization_mub_per_fu": 3.4,
  "density_g_cm3": 8.54,
  "space_group": "P4/mmm, No. 123",
  "n_ef_per_ev_cell": 6.85,
  "lattice": [[3.556, 0.000, 0.000], [0.000, 3.556, 0.000], [0.000, 0.000, 3.708]],
  "species": ["Co", "Co", "Cu", "Ni", "H"],
  "fractional_positions": [[0.000, 0.500, 0.000], [0.500, 0.000, 0.000], [0.000, 0.000, 0.500], [0.500, 0.500, 0.500], [0.000, 0.000, 0.000]]
}

---

Arrangement ii

{
  "formula": "Co2CuNiH",
  "functional": "GGA-PBE",
  "state": "optimized geometry",
  "total_magnetization_mub_per_fu": 3.3,
  "density_g_cm3": 8.57,
  "space_group": "P4/mmm, No. 123",
  "n_ef_per_ev_cell": 5.62,
  "lattice": [[3.579, 0.000, 0.000], [0.000, 3.579, 0.000], [0.000, 0.000, 3.649]],
  "species": ["Co", "Co", "Cu", "Ni", "H"],
  "fractional_positions": [[0.000, 0.500, 0.000], [0.500, 0.000, 0.000], [0.000, 0.000, 0.500], [0.500, 0.500, 0.500], [0.500, 0.500, 0.000]]
}

---

Q: Which of them is the most stable? A: arrangement ii.

---

Arrangement i

{
  "formula": "CoCuNi2H",
  "functional": "GGA-PBE",
  "state": "optimized geometry",
  "total_magnetization_mub_per_fu": 2.5,
  "density_g_cm3": 8.48,
  "space_group": "P4/mmm, No. 123",
  "n_ef_per_ev_cell": 7.26,
  "lattice": [[3.586, 0.000, 0.000], [0.000, 3.586, 0.000], [0.000, 0.000, 3.668]],
  "species": ["Co", "Cu", "Ni", "Ni", "H"],
  "fractional_positions": [[0.000, 0.000, 0.000], [0.500, 0.500, 0.000], [0.000, 0.500, 0.500], [0.500, 0.000, 0.500], [0.500, 0.500, 0.500]]
}

---

Arrangement ii

{
  "formula": "CoCuNi2H",
  "functional": "GGA-PBE",
  "state": "optimized geometry",
  "total_magnetization_mub_per_fu": 2.2,
  "density_g_cm3": 8.57,
  "space_group": "P4/mmm, No. 123",
  "n_ef_per_ev_cell": 5.35,
  "lattice": [[3.598, 0.000, 0.000], [0.000, 3.598, 0.000], [0.000, 0.000, 3.606]],
  "species": ["Co", "Cu", "Ni", "Ni", "H"],
  "fractional_positions": [[0.000, 0.000, 0.000], [0.500, 0.500, 0.000], [0.000, 0.500, 0.500], [0.500, 0.000, 0.500], [0.000, 0.000, 0.500]]
}

---

Q: Which of them is the most stable? A: arrangement ii.

---

Arrangement i

{
  "formula": "CoCuHPd2",
  "functional": "GGA-PBE",
  "state": "optimized geometry",
  "total_magnetization_mub_per_fu": 2.2,
  "density_g_cm3": 9.74,
  "space_group": "P4/mmm, No. 123",
  "n_ef_per_ev_cell": 4.25,
  "lattice": [[3.992, 0.000, 0.000], [0.000, 3.992, 0.000], [0.000, 0.000, 3.598]],
  "species": ["Co", "Cu", "H", "Pd", "Pd"],
  "fractional_positions": [[0.000, 0.000, 0.000], [0.500, 0.500, 0.000], [0.000, 0.000, 0.500], [0.000, 0.500, 0.500], [0.500, 0.000, 0.500]]
}

---

Arrangement ii

{
  "formula": "CoCuHPd2",
  "functional": "GGA-PBE",
  "state": "optimized geometry",
  "total_magnetization_mub_per_fu": 2.5,
  "density_g_cm3": 9.66,
  "space_group": "P4/mmm, No. 123",
  "n_ef_per_ev_cell": 5.93,
  "lattice": [[3.982, 0.000, 0.000], [0.000, 3.982, 0.000], [0.000, 0.000, 3.647]],
  "species": ["Co", "Cu", "H", "Pd", "Pd"],
  "fractional_positions": [[0.000, 0.000, 0.000], [0.500, 0.500, 0.000], [0.500, 0.500, 0.500], [0.000, 0.500, 0.500], [0.500, 0.000, 0.500]]
}

---

Q: Which of them is the most stable? A: arrangement i.

---

Arrangement i

{
  "formula": "Co2CuHPd",
  "functional": "GGA-PBE",
  "state": "optimized geometry",
  "total_magnetization_mub_per_fu": 3.5,
  "density_g_cm3": 9.16,
  "space_group": "P4/mmm, No. 123",
  "n_ef_per_ev_cell": 5.84,
  "lattice": [[3.654, 0.000, 0.000], [0.000, 3.654, 0.000], [0.000, 0.000, 3.922]],
  "species": ["Co", "Co", "Cu", "H", "Pd"],
  "fractional_positions": [[0.000, 0.500, 0.000], [0.500, 0.000, 0.000], [0.000, 0.000, 0.500], [0.500, 0.500, 0.000], [0.500, 0.500, 0.500]]
}

---

Arrangement ii

{
  "formula": "Co2CuHPd",
  "functional": "GGA-PBE",
  "state": "optimized geometry",
  "total_magnetization_mub_per_fu": 3.4,
  "density_g_cm3": 9.27,
  "space_group": "P4/mmm, No. 123",
  "n_ef_per_ev_cell": 6.22,
  "lattice": [[3.646, 0.000, 0.000], [0.000, 3.646, 0.000], [0.000, 0.000, 3.893]],
  "species": ["Co", "Co", "Cu", "H", "Pd"],
  "fractional_positions": [[0.000, 0.500, 0.000], [0.500, 0.000, 0.000], [0.000, 0.000, 0.500], [0.000, 0.000, 0.000], [0.500, 0.500, 0.500]]
}

---

Q: Which of them is the most stable? A: arrangement i.

---

Arrangement i

{
  "formula": "CoCuHRh2",
  "functional": "GGA-PBE",
  "state": "optimized geometry",
  "total_magnetization_mub_per_fu": 4.3,
  "density_g_cm3": 6.12,
  "space_group": "P4/mmm, No. 123",
  "n_ef_per_ev_cell": 11.45,
  "lattice": [[4.549, 0.000, 0.000], [0.000, 4.549, 0.000], [0.000, 0.000, 4.317]],
  "species": ["Co", "Cu", "H", "Rh", "Rh"],
  "fractional_positions": [[0.000, 0.000, 0.000], [0.000, 0.000, 0.500], [0.500, 0.500, 0.000], [0.000, 0.500, 0.500], [0.500, 0.000, 0.500]]
}

---

Arrangement ii

{
  "formula": "CoCuHRh2",
  "functional": "GGA-PBE",
  "state": "optimized geometry",
  "total_magnetization_mub_per_fu": 3.2,
  "density_g_cm3": 9.90,
  "space_group": "P4/mmm, No. 123",
  "n_ef_per_ev_cell": 6.90,
  "lattice": [[3.880, 0.000, 0.000], [0.000, 3.880, 0.000], [0.000, 0.000, 3.668]],
  "species": ["Co", "Cu", "H", "Rh", "Rh"],
  "fractional_positions": [[0.000, 0.000, 0.000], [0.500, 0.500, 0.000], [0.000, 0.000, 0.500], [0.000, 0.500, 0.500], [0.500, 0.000, 0.500]]
}

---

Q: Which of them is the most stable? A: arrangement ii.

---

Arrangement i

{
  "formula": "CoCu2HRh",
  "functional": "GGA-PBE",
  "state": "optimized geometry",
  "total_magnetization_mub_per_fu": 2.6,
  "density_g_cm3": 9.09,
  "space_group": "P4/mmm, No. 123",
  "n_ef_per_ev_cell": 5.71,
  "lattice": [[3.745, 0.000, 0.000], [0.000, 3.745, 0.000], [0.000, 0.000, 3.775]],
  "species": ["Co", "Cu", "Cu", "H", "Rh"],
  "fractional_positions": [[0.000, 0.000, 0.000], [0.000, 0.500, 0.500], [0.500, 0.000, 0.500], [0.500, 0.500, 0.500], [0.500, 0.500, 0.000]]
}

---

Arrangement ii

{
  "formula": "CoCu2HRh",
  "functional": "GGA-PBE",
  "state": "optimized geometry",
  "total_magnetization_mub_per_fu": 2.2,
  "density_g_cm3": 9.29,
  "space_group": "P4/mmm, No. 123",
  "n_ef_per_ev_cell": 6.79,
  "lattice": [[3.783, 0.000, 0.000], [0.000, 3.783, 0.000], [0.000, 0.000, 3.620]],
  "species": ["Co", "Cu", "Cu", "H", "Rh"],
  "fractional_positions": [[0.000, 0.000, 0.000], [0.000, 0.500, 0.500], [0.500, 0.000, 0.500], [0.000, 0.000, 0.500], [0.500, 0.500, 0.000]]
}

---

Q: Which of them is the most stable? A: arrangement i.

---

Arrangement i

{
  "formula": "Co2CuTcH",
  "functional": "GGA-PBE",
  "state": "optimized geometry",
  "total_magnetization_mub_per_fu": 4.3,
  "density_g_cm3": 9.04,
  "space_group": "P4/mmm, No. 123",
  "n_ef_per_ev_cell": 5.27,
  "lattice": [[3.692, 0.000, 0.000], [0.000, 3.692, 0.000], [0.000, 0.000, 3.779]],
  "species": ["Co", "Co", "Cu", "Tc", "H"],
  "fractional_positions": [[0.000, 0.500, 0.000], [0.500, 0.000, 0.000], [0.000, 0.000, 0.500], [0.500, 0.500, 0.500], [0.500, 0.500, 0.000]]
}

---

Arrangement ii

{
  "formula": "Co2CuTcH",
  "functional": "GGA-PBE",
  "state": "optimized geometry",
  "total_magnetization_mub_per_fu": 3.8,
  "density_g_cm3": 9.21,
  "space_group": "P4/mmm, No. 123",
  "n_ef_per_ev_cell": 6.58,
  "lattice": [[3.728, 0.000, 0.000], [0.000, 3.728, 0.000], [0.000, 0.000, 3.639]],
  "species": ["Co", "Co", "Cu", "Tc", "H"],
  "fractional_positions": [[0.000, 0.500, 0.000], [0.500, 0.000, 0.000], [0.000, 0.000, 0.500], [0.500, 0.500, 0.500], [0.000, 0.000, 0.000]]
}

---

Q: Which of them is the most stable? A: arrangement i.

---

Arrangement i

{
  "formula": "VCo2CuH",
  "functional": "GGA-PBE",
  "state": "optimized geometry",
  "total_magnetization_mub_per_fu": 0.7,
  "density_g_cm3": 8.09,
  "space_group": "P4/mmm, No. 123",
  "n_ef_per_ev_cell": 4.38,
  "lattice": [[3.635, 0.000, 0.000], [0.000, 3.635, 0.000], [0.000, 0.000, 3.624]],
  "species": ["V", "Co", "Co", "Cu", "H"],
  "fractional_positions": [[0.000, 0.000, 0.000], [0.000, 0.500, 0.500], [0.500, 0.000, 0.500], [0.500, 0.500, 0.000], [0.000, 0.000, 0.500]]
}

---

Arrangement ii

{
  "formula": "VCo2CuH",
  "functional": "GGA-PBE",
  "state": "optimized geometry",
  "total_magnetization_mub_per_fu": 1.0,
  "density_g_cm3": 8.11,
  "space_group": "P4/mmm, No. 123",
  "n_ef_per_ev_cell": 4.11,
  "lattice": [[3.699, 0.000, 0.000], [0.000, 3.699, 0.000], [0.000, 0.000, 3.491]],
  "species": ["V", "Co", "Co", "Cu", "H"],
  "fractional_positions": [[0.000, 0.000, 0.000], [0.000, 0.500, 0.500], [0.500, 0.000, 0.500], [0.500, 0.500, 0.000], [0.500, 0.500, 0.500]]
}

---

Q: Which of them is the most stable? A: arrangement i.

---

Arrangement i

{
  "formula": "HfCo2Cu2",
  "functional": "GGA-PBE",
  "state": "optimized geometry",
  "total_magnetization_mub_per_fu": 1.3,
  "density_g_cm3": 10.61,
  "space_group": "P4/mbm, No. 127",
  "n_ef_per_ev_cell": 11.03,
  "lattice": [[6.795, 0.000, 0.000], [0.000, 6.795, 0.000], [0.000, 0.000, 2.871]],
  "species": ["Hf", "Hf", "Co", "Co", "Co", "Co", "Cu", "Cu", "Cu", "Cu"],
  "fractional_positions": [[0.000, 0.000, 0.000], [0.500, 0.500, 0.000], [0.125, 0.375, 0.000], [0.375, 0.875, 0.000], [0.625, 0.125, 0.000], [0.875, 0.625, 0.000], [0.168, 0.668, 0.500], [0.332, 0.168, 0.500], [0.668, 0.832, 0.500], [0.832, 0.332, 0.500]]
}

---

Arrangement ii

{
  "formula": "HfCo2Cu2",
  "functional": "GGA-PBE",
  "state": "optimized geometry",
  "total_magnetization_mub_per_fu": 0.8,
  "density_g_cm3": 10.60,
  "space_group": "P4/mbm, No. 127",
  "n_ef_per_ev_cell": 10.65,
  "lattice": [[6.797, 0.000, 0.000], [0.000, 6.797, 0.000], [0.000, 0.000, 2.872]],
  "species": ["Hf", "Hf", "Co", "Co", "Co", "Co", "Cu", "Cu", "Cu", "Cu"],
  "fractional_positions": [[0.000, 0.000, 0.000], [0.500, 0.500, 0.000], [0.171, 0.329, 0.500], [0.329, 0.829, 0.500], [0.671, 0.171, 0.500], [0.829, 0.671, 0.500], [0.125, 0.625, 0.000], [0.375, 0.125, 0.000], [0.625, 0.875, 0.000], [0.875, 0.375, 0.000]]
}

---

Q: Which of them is the most stable? A: arrangement i.